The following is a GGA-PBE calculation of an optimized crystal structure of Y2Ga5Os, from the Alexandria database.

The structure in POSCAR format:
```
Y2Ga5Os
1.0
-3.790 -2.270 -4.203
0.988 -3.099 5.157
-1.643 4.926 3.196
Y Ga Os
2 5 1
direct
0.500 0.249 0.749
0.500 0.749 0.249
0.425 0.708 0.708
0.000 0.708 0.283
0.000 0.283 0.708
0.575 0.283 0.283
0.000 0.263 0.263
0.000 0.979 0.979
```

## Properties
**V**: 20.1 Å³ per atom
**Energy of formation**: -356 meV/atom
**Symmetry**: I4mm

=====

The following is a GGA-PBE calculation of an optimized crystal structure of Ca5SnPb4, from the Alexandria database.

The structure in POSCAR format:
```
Ca5SnPb4
1.0
3.951 0.000 0.000
0.000 3.951 0.000
0.000 0.000 19.471
Ca Sn Pb
5 1 4
direct
0.500 0.500 0.095
0.500 0.500 0.298
0.500 0.500 0.500
0.500 0.500 0.702
0.500 0.500 0.905
0.000 0.000 0.000
0.000 0.000 0.197
0.000 0.000 0.399
0.000 0.000 0.601
0.000 0.000 0.803
```

## Properties
**V**: 30.4 Å³ per atom
**Energy of formation**: -523 meV/atom
**Symmetry**: P4/mmm

=====

The following is a GGA-PBE calculation of an optimized crystal structure of CeAl2SiRu2, from the Alexandria database.

The structure in POSCAR format:
```
CeAl2SiRu2
1.0
-3.692 0.462 -2.409
-1.016 -4.250 0.741
-2.897 1.518 4.731
Ce Al Si Ru
1 2 1 2
direct
0.000 0.000 0.500
0.500 0.500 0.740
0.500 0.500 0.260
0.000 0.000 0.000
0.500 0.000 0.000
0.000 0.500 0.000
```

## Properties
**V**: 18.8 Å³ per atom
**Formation energy (no corrections)**: -0.428 eV per atom
**Symmetry**: P4/mmm